[1]
First-principles (PBEsol) data for crystalline Ca2BeSe at its relaxed geometry, as listed in the Alexandria database.

Summary:
Electronic total energy ... -27.96 eV for the cell shown
Energy above the most stable polymorph in this dataset ... 139 meV per atom
Formation energy without anion corrections ... -0.466 eV/atom
DOS at the Fermi energy ... 2.68 states/eV/f.u.
Total magnetization ... 0.004 μB/cell

a b c (Å): 3.7175 3.9243 14.2974
angles (deg): 90.00 90.00 90.00
Space group Imm2 (No. 44)
Asymmetric unit:
Ca  0.0000  0.0000  0.0000 x2
Ca  0.0000  0.5000  0.2414 x2
Be  0.0000  0.5000  0.8327 x2
Se  0.0000  0.0000  0.5791 x2

***

[2]
First-principles (PBEsol) data for crystalline Na3NbF at its relaxed geometry, as listed in the Alexandria database.

Summary:
Electronic total energy ... -17.28 eV for the cell shown
Formation energy without anion corrections ... -0.066 eV/atom
DOS at the Fermi energy ... 1.19 states/eV/f.u.
Total magnetization ... 4.956 μB/cell

a b c (Å): 4.8024 4.8024 4.8024
angles (deg): 90.00 90.00 90.00
Space group Pm-3m (No. 221)
Asymmetric unit:
Na  0.0000  0.0000  0.5000 x3
Nb  0.5000  0.5000  0.5000 x1
F  0.0000  0.0000  0.0000 x1

***

[3]
First-principles (PBEsol) data for crystalline LaRh2Pb at its relaxed geometry, as listed in the Alexandria database.

Summary:
Electronic total energy ... -26.78 eV for the cell shown
ΔH_f (0 K) ... -0.29 eV/atom
DOS at the Fermi energy ... 2.61 states/eV/f.u.
Total magnetization ... 0.000 μB/cell

a b c (Å): 3.8658 3.8658 5.5412
angles (deg): 90.00 90.00 90.00
Space group P4mm (No. 99)
Asymmetric unit:
La  0.0000  0.0000  0.0000 x1
Rh  0.0000  0.0000  0.5212 x1
Rh  0.5000  0.5000  0.8513 x1
Pb  0.5000  0.5000  0.3665 x1

***

[4]
First-principles (PBEsol) data for crystalline YHfTeN2 at its relaxed geometry, as listed in the Alexandria database.

Summary:
Electronic total energy ... -34.75 eV for the cell shown
Formation energy without anion corrections ... 0.630 eV/atom
DOS at the Fermi energy ... 3.94 states/eV/f.u.
Total magnetization ... 0.226 μB/cell

a b c (Å): 4.2331 4.2331 5.7076
angles (deg): 90.00 90.00 90.00
Space group P4/mmm (No. 123)
Asymmetric unit:
Y  0.0000  0.0000  0.0000 x1
Hf  0.5000  0.5000  0.5000 x1
Te  0.0000  0.0000  0.5000 x1
N  0.0000  0.5000  0.0000 x2

***

[5]
First-principles (PBEsol) data for crystalline AlBP2H5NO9 at its relaxed geometry, as listed in the Alexandria database.

Summary:
Electronic total energy ... -523.25 eV for the cell shown
DOS at the Fermi energy ... 0.00 states/eV/f.u.
Total magnetization ... 0.000 μB/cell

a b c (Å): 9.3403 8.3192 9.4823
angles (deg): 90.00 104.89 90.00
Space group P2_1/c (No. 14)
Asymmetric unit:
Al  0.2045  0.1550  0.4360 x4
B  0.3323  0.5579  0.1962 x4
P  0.0724  0.0609  0.7041 x4
P  0.4144  0.2406  0.2308 x4
H  0.0974  0.6854  0.5189 x4
H  0.1394  0.5495  0.6578 x4
H  0.1821  0.5072  0.4967 x4
H  0.2757  0.6521  0.6117 x4
H  0.3861  0.5666  0.9963 x4
N  0.1735  0.5985  0.5689 x4
O  0.0767  0.1552  0.5660 x4
O  0.0786  0.0160  0.3036 x4
O  0.1116  0.1633  0.8433 x4
O  0.1884  0.5806  0.2269 x4
O  0.3032  0.5361  0.0360 x4
O  0.3409  0.2166  0.0699 x4
O  0.3486  0.1333  0.3281 x4
O  0.4134  0.0791  0.7761 x4
O  0.4148  0.7068  0.2383 x4

***

[6]
First-principles (PBEsol) data for crystalline FeCo4 at its relaxed geometry, as listed in the Alexandria database.

Summary:
Electronic total energy ... -79.15 eV for the cell shown
Energy above the most stable polymorph in this dataset ... 3 meV per atom
ΔH_f (0 K) ... 0.07 eV/atom
DOS at the Fermi energy ... 4.78 states/eV/f.u.
Total magnetization ... 18.872 μB/cell

a b c (Å): 6.2276 6.2276 2.7500
angles (deg): 90.00 90.00 90.00
Space group I4/m (No. 87)
Asymmetric unit:
Fe  0.0000  0.0000  0.0000 x2
Co  0.0964  0.2955  0.5000 x8

***

[7]
First-principles (PBEsol) data for crystalline MnHgAu2 at its relaxed geometry, as listed in the Alexandria database.

Summary:
Electronic total energy ... -35.73 eV for the cell shown
ΔH_f (0 K) ... 0.08 eV/atom
DOS at the Fermi energy ... 1.66 states/eV/f.u.
Total magnetization ... 8.194 μB/cell

a b c (Å): 4.1547 4.1547 7.9149
angles (deg): 90.00 90.00 90.00
Space group I-4m2 (No. 119)
Asymmetric unit:
Mn  0.0000  0.0000  0.0000 x2
Hg  0.0000  0.5000  0.7500 x2
Au  0.0000  0.0000  0.5000 x2
Au  0.0000  0.5000  0.2500 x2

***

[8]
First-principles (PBEsol) data for crystalline SiSeN2O at its relaxed geometry, as listed in the Alexandria database.

Summary:
Electronic total energy ... -22.54 eV for the cell shown
Formation energy without anion corrections ... 1.872 eV/atom
DOS at the Fermi energy ... 3.03 states/eV/f.u.
Total magnetization ... 0.911 μB/cell

a b c (Å): 3.8187 3.8187 3.8466
angles (deg): 90.00 90.00 90.00
Space group P4/mmm (No. 123)
Asymmetric unit:
Si  0.0000  0.0000  0.0000 x1
Se  0.5000  0.5000  0.0000 x1
N  0.0000  0.5000  0.5000 x2
O  0.5000  0.5000  0.5000 x1

***

What is the DOS at the Fermi energy in the second record? 1.19 states/eV/f.u.